[1]
DFT (PBE-GGA) results for an optimized crystal structure of Y5Pa3Hg12.

abc: 15.0154 15.0154 15.0154
angles: 109.47 109.47 109.47
With the nearest neighbours (Å) after each atom.
Fractional positions:
Pa 0.7500 0.3750 0.1250  8 Hg 3.07-3.12
Pa 0.8750 0.7500 0.1250  8 Hg 3.07-3.12
Pa 0.3750 0.7500 0.6250  8 Hg 3.07-3.12
Pa 0.2500 0.1250 0.3750  8 Hg 3.07-3.12
Pa 0.8750 0.1250 0.2500  8 Hg 3.07-3.12
Pa 0.3750 0.6250 0.2500  8 Hg 3.07-3.12
Pa 0.6250 0.3750 0.7500  8 Hg 3.07-3.12
Pa 0.1250 0.8750 0.7500  8 Hg 3.07-3.12
Pa 0.7500 0.8750 0.6250  8 Hg 3.07-3.12
Pa 0.6250 0.2500 0.3750  8 Hg 3.07-3.12
Pa 0.1250 0.2500 0.8750  8 Hg 3.07-3.12
Pa 0.2500 0.6250 0.8750  8 Hg 3.07-3.12
Y 0.1250 0.3750 0.2500  4 Hg 2.95
Y 0.0000 0.5000 0.0000  6 Hg 2.96
Y 0.0000 0.0000 0.0000  6 Hg 2.96
Y 0.3750 0.2500 0.1250  4 Hg 2.95
Y 0.5000 0.0000 0.5000  6 Hg 2.96
Y 0.5000 0.5000 0.0000  6 Hg 2.96
Y 0.1250 0.7500 0.3750  4 Hg 2.95
Y 0.7500 0.1250 0.8750  4 Hg 2.95
Y 0.7500 0.6250 0.3750  4 Hg 2.95
Y 0.3750 0.1250 0.7500  4 Hg 2.95
Y 0.6250 0.8750 0.2500  4 Hg 2.95
Y 0.5000 0.5000 0.5000  6 Hg 2.96
Y 0.5000 0.0000 0.0000  6 Hg 2.96
Y 0.0000 0.0000 0.5000  6 Hg 2.96
Y 0.2500 0.3750 0.6250  4 Hg 2.95
Y 0.2500 0.8750 0.1250  4 Hg 2.95
Y 0.0000 0.5000 0.5000  6 Hg 2.96
Y 0.8750 0.2500 0.6250  4 Hg 2.95
Y 0.6250 0.7500 0.8750  4 Hg 2.95
Y 0.8750 0.6250 0.7500  4 Hg 2.95
Hg 0.7281 0.1462 0.0681  2 Y 2.95-2.96, 2 Pa 3.07-3.12, 1 Hg 3.08
Hg 0.3401 0.5681 0.4220  2 Y 2.95-2.96, 2 Pa 3.07-3.12, 1 Hg 3.08
Hg 0.9319 0.3538 0.2719  2 Y 2.95-2.96, 2 Pa 3.07-3.12, 1 Hg 3.08
Hg 0.5681 0.2281 0.1462  2 Y 2.95-2.96, 2 Pa 3.07-3.12, 1 Hg 3.08
Hg 0.5819 0.7281 0.6599  2 Y 2.95-2.96, 2 Pa 3.07-3.12, 1 Hg 3.08
Hg 0.9319 0.5780 0.1599  2 Y 2.95-2.96, 2 Pa 3.07-3.12, 1 Hg 3.08
Hg 0.3401 0.7719 0.4181  2 Y 2.95-2.96, 2 Pa 3.07-3.12, 1 Hg 3.08
Hg 0.0780 0.9181 0.1462  2 Y 2.95-2.96, 2 Pa 3.07-3.12, 1 Hg 3.08
Hg 0.5780 0.9319 0.6599  2 Y 2.95-2.96, 2 Pa 3.07-3.12, 1 Hg 3.08
Hg 0.7281 0.5819 0.1599  2 Y 2.95-2.96, 2 Pa 3.07-3.12, 1 Hg 3.08
Hg 0.7719 0.4319 0.3538  2 Y 2.95-2.96, 2 Pa 3.07-3.12, 1 Hg 3.08
Hg 0.8401 0.9220 0.0681  2 Y 2.95-2.96, 2 Pa 3.07-3.12, 1 Hg 3.08
Hg 0.1462 0.7281 0.5681  2 Y 2.95-2.96, 2 Pa 3.07-3.12, 1 Hg 3.08
Hg 0.3538 0.4220 0.0819  2 Y 2.95-2.96, 2 Pa 3.07-3.12, 1 Hg 3.08
Hg 0.0819 0.9220 0.3538  2 Y 2.95-2.96, 2 Pa 3.07-3.12, 1 Hg 3.08
Hg 0.4181 0.1462 0.5780  2 Y 2.95-2.96, 2 Pa 3.07-3.12, 1 Hg 3.08
Hg 0.0819 0.1599 0.2281  2 Y 2.95-2.96, 2 Pa 3.07-3.12, 1 Hg 3.08
Hg 0.4319 0.6599 0.0780  2 Y 2.95-2.96, 2 Pa 3.07-3.12, 1 Hg 3.08
Hg 0.8401 0.9181 0.2719  2 Y 2.95-2.96, 2 Pa 3.07-3.12, 1 Hg 3.08
Hg 0.1462 0.4181 0.0780  2 Y 2.95-2.96, 2 Pa 3.07-3.12, 1 Hg 3.08
Hg 0.3538 0.9319 0.7719  2 Y 2.95-2.96, 2 Pa 3.07-3.12, 1 Hg 3.08
Hg 0.5780 0.6462 0.4181  2 Y 2.95-2.96, 2 Pa 3.07-3.12, 1 Hg 3.08
Hg 0.9220 0.8401 0.5681  2 Y 2.95-2.96, 2 Pa 3.07-3.12, 1 Hg 3.08
Hg 0.7719 0.3401 0.9181  2 Y 2.95-2.96, 2 Pa 3.07-3.12, 1 Hg 3.08
Hg 0.4220 0.3538 0.5819  2 Y 2.95-2.96, 2 Pa 3.07-3.12, 1 Hg 3.08
Hg 0.0780 0.1599 0.4319  2 Y 2.95-2.96, 2 Pa 3.07-3.12, 1 Hg 3.08
Hg 0.2281 0.6599 0.0819  2 Y 2.95-2.96, 2 Pa 3.07-3.12, 1 Hg 3.08
Hg 0.1599 0.0819 0.7281  2 Y 2.95-2.96, 2 Pa 3.07-3.12, 1 Hg 3.08
Hg 0.6462 0.0681 0.2281  2 Y 2.95-2.96, 2 Pa 3.07-3.12, 1 Hg 3.08
Hg 0.8538 0.5819 0.9220  2 Y 2.95-2.96, 2 Pa 3.07-3.12, 1 Hg 3.08
Hg 0.5681 0.3401 0.9220  2 Y 2.95-2.96, 2 Pa 3.07-3.12, 1 Hg 3.08
Hg 0.5819 0.8538 0.4220  2 Y 2.95-2.96, 2 Pa 3.07-3.12, 1 Hg 3.08
Hg 0.9181 0.8401 0.7719  2 Y 2.95-2.96, 2 Pa 3.07-3.12, 1 Hg 3.08
Hg 0.9181 0.0780 0.6462  2 Y 2.95-2.96, 2 Pa 3.07-3.12, 1 Hg 3.08
Hg 0.8538 0.2719 0.4319  2 Y 2.95-2.96, 2 Pa 3.07-3.12, 1 Hg 3.08
Hg 0.1599 0.0780 0.9319  2 Y 2.95-2.96, 2 Pa 3.07-3.12, 1 Hg 3.08
Hg 0.6462 0.5780 0.9181  2 Y 2.95-2.96, 2 Pa 3.07-3.12, 1 Hg 3.08
Hg 0.4220 0.0681 0.3401  2 Y 2.95-2.96, 2 Pa 3.07-3.12, 1 Hg 3.08
Hg 0.2719 0.4181 0.8401  2 Y 2.95-2.96, 2 Pa 3.07-3.12, 1 Hg 3.08
Hg 0.2281 0.5681 0.6462  2 Y 2.95-2.96, 2 Pa 3.07-3.12, 1 Hg 3.08
Hg 0.9220 0.0819 0.8538  2 Y 2.95-2.96, 2 Pa 3.07-3.12, 1 Hg 3.08
Hg 0.6599 0.2281 0.5819  2 Y 2.95-2.96, 2 Pa 3.07-3.12, 1 Hg 3.08
Hg 0.4319 0.7719 0.8538  2 Y 2.95-2.96, 2 Pa 3.07-3.12, 1 Hg 3.08
Hg 0.0681 0.4220 0.8401  2 Y 2.95-2.96, 2 Pa 3.07-3.12, 1 Hg 3.08
Hg 0.4181 0.2719 0.3401  2 Y 2.95-2.96, 2 Pa 3.07-3.12, 1 Hg 3.08
Hg 0.0681 0.6462 0.7281  2 Y 2.95-2.96, 2 Pa 3.07-3.12, 1 Hg 3.08
Hg 0.6599 0.4319 0.5780  2 Y 2.95-2.96, 2 Pa 3.07-3.12, 1 Hg 3.08
Hg 0.2719 0.8538 0.9319  2 Y 2.95-2.96, 2 Pa 3.07-3.12, 1 Hg 3.08

Results
energy of formation from the pure elements: 0.24 eV/atom
final energy: -2.986 eV/atom
magnetic moment: 3.088 μB/f.u.
D(E_F): 1.35 states/eV/atom

***

[2]
DFT (PBE-GGA) results for an optimized crystal structure of TbDy3C2.

abc: 6.2939 7.1434 7.1434
angles: 120.00 90.00 90.00
With the nearest neighbours (Å) after each atom.
Fractional positions:
Tb 0.2176 0.3333 0.6667  3 C 2.48
Tb 0.7824 0.6667 0.3333  3 C 2.48
Dy 0.7855 0.1667 0.8333  3 C 2.46-2.47
Dy 0.7855 0.6665 0.8333  3 C 2.46-2.47
Dy 0.7855 0.1667 0.3335  3 C 2.46-2.47
Dy 0.2145 0.8333 0.6665  3 C 2.46-2.47
Dy 0.2145 0.8333 0.1667  3 C 2.46-2.47
Dy 0.2145 0.3335 0.1667  3 C 2.46-2.47
C 0.0000 0.0000 0.0000  6 Dy 2.47
C 0.0000 0.5000 0.0000  4 Dy 2.46, 2 Tb 2.48
C 0.0000 0.0000 0.5000  4 Dy 2.46, 2 Tb 2.48
C 0.0000 0.5000 0.5000  4 Dy 2.46, 2 Tb 2.48

Results
energy of formation from the pure elements: -0.25 eV/atom
final energy: -6.402 eV/atom
magnetic moment: 0.290 μB/f.u.
D(E_F): 0.76 states/eV/atom

***

[3]
DFT (PBE-GGA) results for an optimized crystal structure of KAgH3.

abc: 4.5512 4.5512 4.5512
angles: 90.00 90.00 90.00
With the nearest neighbours (Å) after each atom.
Fractional positions:
H 0.0000 0.5000 0.0000  2 K 2.28
H 0.0000 0.0000 0.5000  2 K 2.28
H 0.5000 0.0000 0.0000  2 K 2.28
K 0.0000 0.0000 0.0000  6 H 2.28
Ag 0.5000 0.5000 0.5000  12 H 3.22

Results
energy above the most stable polymorph in this dataset: 1091.9 meV/atom
final energy: -1.684 eV/atom
magnetic moment: 1.000 μB/f.u.
D(E_F): 0.88 states/eV/atom

***

[4]
DFT (PBE-GGA) results for an optimized crystal structure of Sm3ErAu2.

abc: 5.0545 7.1429 9.1573
angles: 90.00 90.00 90.00
With the nearest neighbours (Å) after each atom.
Fractional positions:
Sm 0.0000 0.4910 0.9251  3 Au 2.99-3.16
Sm 0.0000 0.9910 0.0749  3 Au 2.99-3.16
Sm 0.5000 0.6516 0.1671  4 Au 2.98-3.14
Sm 0.5000 0.1516 0.8329  4 Au 2.98-3.14
Sm 0.0000 0.3487 0.3354  4 Au 2.94-3.11
Sm 0.0000 0.8487 0.6646  4 Au 2.94-3.11
Er 0.5000 0.5094 0.5734  3 Au 2.95-3.15
Er 0.5000 0.0094 0.4266  3 Au 2.95-3.15
Au 0.5000 0.7352 0.8426  1 Er 2.95, 6 Sm 2.98-3.16
Au 0.5000 0.2352 0.1574  1 Er 2.95, 6 Sm 2.98-3.16
Au 0.0000 0.2642 0.6501  5 Sm 2.94-3.14, 2 Er 3.15
Au 0.0000 0.7642 0.3499  5 Sm 2.94-3.14, 2 Er 3.15

Results
energy of formation from the pure elements: -0.59 eV/atom
final energy: -4.798 eV/atom
magnetic moment: 0.000 μB/f.u.
D(E_F): 1.05 states/eV/atom

***

[5]
DFT (PBE-GGA) results for an optimized crystal structure of Cs2Cd5In4.

abc: 7.0428 6.6703 9.8131
angles: 79.08 68.97 58.13
With the nearest neighbours (Å) after each atom.
Fractional positions:
Cs 0.8625 0.0000 0.2750  6 In 3.92-3.96, 10 Cd 3.92-4.33
Cs 0.1375 0.0000 0.7250  6 In 3.92-3.96, 10 Cd 3.92-4.33
Cd 0.5000 0.0000 0.0000  4 In 2.93
Cd 0.0000 0.5000 0.0000  4 In 3.17, 4 Cd 3.34-3.52
Cd 0.5000 0.5000 0.0000  4 In 3.17, 4 Cd 3.34-3.52
Cd 0.2500 0.5000 0.5000  4 In 3.03
Cd 0.7500 0.5000 0.5000  4 In 3.03
In 0.4790 0.3022 0.7398  5 Cd 2.93-3.17
In 0.5210 0.6978 0.2602  5 Cd 2.93-3.17
In 0.2188 0.3022 0.2602  5 Cd 2.93-3.17
In 0.7812 0.6978 0.7398  5 Cd 2.93-3.17

Results
energy of formation from the pure elements: -0.03 eV/atom
final energy: -1.595 eV/atom
magnetic moment: 0.000 μB/f.u.
D(E_F): 0.49 states/eV/atom

***

[6]
DFT (PBE-GGA) results for an optimized crystal structure of LaRu2W.

abc: 5.1406 5.1406 5.1001
angles: 80.20 80.20 34.81
With the nearest neighbours (Å) after each atom.
Fractional positions:
La 0.7469 0.7469 0.7724  7 Ru 2.85-3.17, 1 W 3.03, 2 La 3.08
Ru 0.9757 0.9757 0.0454  2 W 2.56, 2 Ru 2.79, 1 La 2.85
Ru 0.2463 0.2463 0.2679  2 W 2.61, 2 Ru 2.79
W 0.5311 0.5311 0.4142  4 Ru 2.56-2.61

Results
energy of formation from the pure elements: 0.37 eV/atom
final energy: -8.741 eV/atom
magnetic moment: 0.000 μB/f.u.
D(E_F): 1.18 states/eV/atom

***

[7]
DFT (PBE-GGA) results for an optimized crystal structure of Cd2Hg3Bi.

abc: 6.1554 7.4178 7.4178
angles: 80.01 81.06 81.06
With the nearest neighbours (Å) after each atom.
Fractional positions:
Cd 0.5000 0.7259 0.2741  4 Hg 2.99-3.09, 2 Bi 3.16, 2 Cd 3.16
Cd 0.0000 0.8007 0.1993  4 Hg 2.99-3.05, 2 Cd 3.16, 2 Bi 3.28
Cd 0.0000 0.1993 0.8007  4 Hg 2.99-3.05, 2 Cd 3.16, 2 Bi 3.28
Cd 0.5000 0.2741 0.7259  4 Hg 2.99-3.09, 2 Bi 3.16, 2 Cd 3.16
Hg 0.7559 0.4147 0.0922  2 Cd 2.99, 1 Hg 3.08
Hg 0.7559 0.0922 0.4147  2 Cd 2.99, 1 Hg 3.08
Hg 0.2441 0.5853 0.9078  2 Cd 2.99, 1 Hg 3.08
Hg 0.7133 0.8866 0.8866  4 Cd 3.05-3.09, 1 Bi 3.14, 1 Hg 3.29
Hg 0.2867 0.1134 0.1134  4 Cd 3.05-3.09, 1 Bi 3.14, 1 Hg 3.29
Hg 0.2441 0.9078 0.5853  2 Cd 2.99, 1 Hg 3.08
Bi 0.2160 0.3948 0.3948  1 Hg 3.14, 4 Cd 3.16-3.28, 1 Bi 3.19
Bi 0.7840 0.6052 0.6052  1 Hg 3.14, 4 Cd 3.16-3.28, 1 Bi 3.19

Results
energy of formation from the pure elements: 0.04 eV/atom
final energy: -1.061 eV/atom
magnetic moment: 0.000 μB/f.u.
D(E_F): 0.34 states/eV/atom

***

[8]
DFT (PBE-GGA) results for an optimized crystal structure of TbEr2GaC.

abc: 4.8913 4.8061 4.8061
angles: 90.00 90.00 90.00
With the nearest neighbours (Å) after each atom.
Fractional positions:
Tb 0.5000 0.0000 0.0000  2 C 2.45
Er 0.0000 0.0000 0.5000  2 C 2.40
Er 0.0000 0.5000 0.0000  2 C 2.40
Ga 0.5000 0.5000 0.5000  4 Tb 3.40, 8 Er 3.43
C 0.0000 0.0000 0.0000  4 Er 2.40, 2 Tb 2.45

Results
energy of formation from the pure elements: -0.47 eV/atom
final energy: -5.670 eV/atom
magnetic moment: 0.000 μB/f.u.
D(E_F): 0.31 states/eV/atom